(1)
Below is a geometry-optimized SmCd2Hg3 structure, with properties calculated at the PBE level.

## Properties
volume	25.4	A^3/atom
size of the total moment	0.000	Bohr magnetons per cell
ΔE_f	-0.177	eV/atom
relative energy among the computed polymorphs	44	meV per atom

```
12
Lattice="-0.852 2.041 5.290 -1.334 -5.998 2.099 8.590 1.840 0.674" Properties=species:S:1:pos:R:3 pbc="T T T"
Hg 5.365 1.224 1.946
Hg 4.706 -1.739 2.983
Sm 1.739 -2.872 2.942
Cd -0.983 -4.419 1.546
Cd -0.351 -1.580 0.553
Hg 1.038 -3.341 6.117
Sm 4.664 0.755 5.122
Hg 2.013 0.185 1.807
Cd -0.777 -0.559 3.198
Cd -1.409 -3.398 4.191
Hg 4.390 -2.302 6.256
Hg 1.697 -0.379 5.081
```

(2)
Below is a geometry-optimized Sm2Cd5Hg structure, with properties calculated at the PBE level.

## Properties
volume	25.4	A^3/atom
size of the total moment	0.000	Bohr magnetons per cell
ΔE_f	-0.245	eV/atom
relative energy among the computed polymorphs	26	meV per atom

```
16
Lattice="4.297 0.000 0.000 -2.149 9.201 0.000 0.000 0.000 10.290" Properties=species:S:1:pos:R:3 pbc="T T T"
Cd 0.000 6.731 5.426
Cd 0.000 3.811 6.199
Cd 2.149 5.390 4.091
Cd 2.149 2.470 0.281
Cd 0.000 3.811 9.236
Cd 2.149 5.390 1.054
Sm 0.000 0.000 0.000
Hg 0.000 8.486 7.717
Sm 0.000 0.000 5.145
Sm 2.149 5.853 7.717
Cd 2.149 2.096 7.717
Hg 2.149 0.715 2.572
Cd 2.149 2.470 4.863
Cd 0.000 7.105 2.572
Sm 0.000 3.347 2.572
Cd 0.000 6.731 10.008
```

(3)
Below is a geometry-optimized Sm2CdHg3 structure, with properties calculated at the PBE level.

## Properties
volume	25.2	A^3/atom
size of the total moment	0.000	Bohr magnetons per cell
ΔE_f	-0.409	eV/atom

```
12
Lattice="6.027 -0.931 0.000 -1.164 5.986 0.000 -2.431 -2.528 8.657" Properties=species:S:1:pos:R:3 pbc="T T T"
Sm 1.201 1.248 0.000
Hg -1.779 1.712 7.203
Hg 0.652 4.239 1.453
Sm -0.582 2.993 4.328
Cd 0.000 0.000 5.772
Hg 2.431 2.528 5.749
Hg 4.211 0.816 1.453
Hg 0.000 0.000 2.907
Cd 2.431 2.528 2.885
Sm 3.662 3.807 0.000
Hg 1.779 -1.712 7.203
Sm 3.013 -0.465 4.328
```

(4)
Below is a geometry-optimized SmCd2Hg5 structure, with properties calculated at the PBE level.

## Properties
volume	25.3	A^3/atom
size of the total moment	0.000	Bohr magnetons per cell
ΔE_f	-0.120	eV/atom
relative energy among the computed polymorphs	49	meV per atom

```
16
Lattice="7.905 0.000 0.000 0.000 7.905 0.000 -3.952 -3.952 6.475" Properties=species:S:1:pos:R:3 pbc="T T T"
Hg 0.000 0.000 0.000
Hg 1.178 2.775 4.431
Hg 2.775 -1.178 4.431
Hg 5.130 1.178 4.431
Hg 1.178 5.130 2.045
Hg 5.130 -1.178 2.045
Cd 2.797 6.750 0.000
Hg 2.775 1.178 2.045
Cd 5.107 1.155 0.000
Cd 6.750 5.107 0.000
Hg -1.178 5.130 4.431
Sm 3.952 3.952 3.238
Hg 3.952 3.952 0.000
Sm 0.000 0.000 3.238
Hg -1.178 2.775 2.045
Cd 1.155 2.797 0.000
```

(5)
Below is a geometry-optimized Sm3CdHg structure, with properties calculated at the PBE level.

## Properties
volume	33.5	A^3/atom
size of the total moment	0.000	Bohr magnetons per cell
ΔE_f	-0.079	eV/atom
relative energy among the computed polymorphs	220	meV per atom

```
10
Lattice="-4.681 -2.586 -4.496 1.944 -1.646 -6.505 0.857 -8.768 -1.278" Properties=species:S:1:pos:R:3 pbc="T T T"
Hg -1.822 -2.833 -7.330
Cd 0.227 -6.148 -2.129
Hg -0.058 -10.166 -4.949
Sm 0.170 -5.262 -8.008
Sm -3.161 -5.734 -6.997
Sm -2.051 -7.737 -4.272
Cd -2.107 -6.851 -10.151
Sm -1.072 -8.565 -7.544
Sm 1.281 -7.264 -5.282
Sm -0.807 -4.434 -4.736
```

(6)
Below is a geometry-optimized Sm2Cd5Hg12 structure, with properties calculated at the PBE level.

## Properties
volume	25.5	A^3/atom
size of the total moment	0.000	Bohr magnetons per cell
ΔE_f	-0.118	eV/atom
relative energy among the computed polymorphs	0	meV per atom

```
19
Lattice="-3.448 -0.500 -4.116 2.919 -8.700 -4.806 -5.126 -8.790 1.944" Properties=species:S:1:pos:R:3 pbc="T T T"
Hg -4.969 -7.257 -1.982
Hg -1.990 -7.930 -2.477
Hg -3.140 -5.523 -0.221
Cd -3.457 -5.627 -4.195
Cd -1.724 -0.250 -2.058
Sm -3.251 -8.769 0.371
Hg -3.547 -2.490 -4.260
Hg -0.994 -7.212 -5.317
Hg -2.108 -15.500 -2.718
Hg 0.400 -5.483 -3.191
Hg -4.660 -10.778 -1.661
Sm 1.045 -8.721 -3.233
Hg -3.665 -10.060 -4.502
Cd -2.198 -12.363 -2.784
Cd -1.816 -3.715 -2.214
Cd -3.839 -14.275 -4.765
Hg -2.515 -12.467 -6.758
Hg -6.055 -12.507 -3.787
Hg -0.686 -10.733 -4.996
```

(7)
Below is a geometry-optimized SmCd6Hg8 structure, with properties calculated at the PBE level.

## Properties
volume	25.5	A^3/atom
size of the total moment	0.000	Bohr magnetons per cell
ΔE_f	-0.033	eV/atom

```
15
Lattice="-5.405 4.991 -0.971 -3.108 0.381 6.728 2.959 6.192 2.824" Properties=species:S:1:pos:R:3 pbc="T T T"
Hg -1.241 2.584 1.917
Hg 0.653 5.826 4.960
Cd -3.924 7.951 3.726
Hg -4.458 2.968 5.504
Hg -3.632 6.688 1.025
Hg -6.208 5.737 3.621
Cd -4.545 5.906 6.078
Hg -1.097 8.596 3.077
Cd -1.723 7.362 5.943
Sm 0.000 0.000 0.000
Cd -3.831 4.202 2.639
Hg -4.314 8.980 6.664
Hg -1.923 4.875 7.557
Cd -1.631 3.613 4.856
Cd -1.009 5.658 2.503
```

(8)
Below is a geometry-optimized SmCd4Hg3 structure, with properties calculated at the PBE level.

## Properties
volume	24.0	A^3/atom
size of the total moment	0.000	Bohr magnetons per cell
ΔE_f	-0.180	eV/atom

```
8
Lattice="-3.349 -2.789 0.877 0.711 -2.135 -4.072 7.257 -3.387 5.671" Properties=species:S:1:pos:R:3 pbc="T T T"
Cd 3.373 -4.041 0.032
Sm -1.674 -1.394 0.439
Hg 3.094 -6.811 1.421
Cd 4.389 -4.326 3.003
Cd 0.230 -3.985 -0.527
Cd 1.246 -4.270 2.444
Hg 1.525 -1.500 1.054
Hg 0.356 -1.068 -2.036
```

(9)
Below is a geometry-optimized SmCd2Hg3 structure, with properties calculated at the PBE level.

## Properties
volume	24.7	A^3/atom
size of the total moment	0.000	Bohr magnetons per cell
ΔE_f	-0.221	eV/atom
relative energy among the computed polymorphs	0	meV per atom

```
12
Lattice="4.434 0.000 0.000 0.000 4.782 0.000 0.000 0.000 13.985" Properties=species:S:1:pos:R:3 pbc="T T T"
Cd 0.001 2.391 2.417
Hg 2.215 0.000 6.992
Sm 4.432 2.391 6.992
Cd 4.433 0.000 9.409
Hg 2.218 2.391 0.000
Cd 4.433 0.000 4.575
Hg 2.218 0.000 2.309
Cd 0.001 2.391 11.568
Hg 2.216 2.391 9.301
Hg 2.218 0.000 11.676
Hg 2.216 2.391 4.683
Sm 0.002 0.000 0.000
```

(10)
Below is a geometry-optimized SmCdHg3 structure, with properties calculated at the PBE level.

## Properties
volume	27.2	A^3/atom
size of the total moment	0.000	Bohr magnetons per cell
ΔE_f	-0.163	eV/atom
relative energy among the computed polymorphs	142	meV per atom

```
10
Lattice="-0.140 4.995 1.379 -3.804 -0.099 -0.027 1.937 -4.868 12.985" Properties=species:S:1:pos:R:3 pbc="T T T"
Hg -0.068 0.153 8.998
Hg -1.903 -2.123 7.668
Cd -0.036 0.641 2.661
Hg -0.104 2.151 6.668
Sm 0.002 -2.829 10.099
Cd -1.971 -0.613 11.675
Hg -1.901 -3.524 12.573
Sm -2.008 2.857 4.237
Hg -0.105 3.552 1.763
Hg -1.938 -0.125 5.339
```

(11)
Below is a geometry-optimized SmCdHg2 structure, with properties calculated at the PBE level.

## Properties
volume	25.0	A^3/atom
size of the total moment	0.237	Bohr magnetons per cell
ΔE_f	-0.282	eV/atom
relative energy among the computed polymorphs	111	meV per atom

```
4
Lattice="-1.630 -1.946 2.682 -2.371 -1.404 -2.460 4.593 -5.568 -1.249" Properties=species:S:1:pos:R:3 pbc="T T T"
Hg 1.201 -1.456 -0.327
Sm -2.001 -1.675 0.111
Cd 0.296 -4.459 -0.513
Hg 3.392 -4.112 -0.922
```

(12)
Below is a geometry-optimized SmCd2Hg structure, with properties calculated at the PBE level.

## Properties
volume	25.1	A^3/atom
size of the total moment	0.000	Bohr magnetons per cell
ΔE_f	-0.300	eV/atom
relative energy among the computed polymorphs	42	meV per atom

```
4
Lattice="4.920 0.000 0.000 0.000 4.520 0.000 0.000 0.000 4.520" Properties=species:S:1:pos:R:3 pbc="T T T"
Cd 0.000 0.000 2.260
Cd 0.000 2.260 0.000
Hg 2.460 0.000 0.000
Sm 2.460 2.260 2.260
```